# AcTbSm6Dy2

A relaxed structure of AcTbSm6Dy2 (GGA-PBE, the Alexandria database).

Formation energy from the elements   0.124 eV per atom
V   34.70 Å³ per atom
Density of states at the Fermi level   1.439 states/eV per atom
Symmetry   C2/c

Geometry as CIF:
```
data_AcTbSm6Dy2
_symmetry_space_group_name_H-M 'P 1'
_symmetry_Int_Tables_number 1
_symmetry_space_group_name_Hall 'P 1'
_cell_length_a 9.6881
_cell_length_b 9.0158
_cell_length_c 9.0158
_cell_angle_alpha 117.66
_cell_angle_beta 92.93
_cell_angle_gamma 92.93
loop_
_atom_site_label
_atom_site_type_symbol
_atom_site_fract_x
_atom_site_fract_y
_atom_site_fract_z
_atom_site_occupancy
Ac1 Ac 0.2500 0.9719 0.0281 1
Ac2 Ac 0.7500 0.0281 0.9719 1
Tb1 Tb 0.2500 0.4117 0.5883 1
Tb2 Tb 0.7500 0.5883 0.4117 1
Sm1 Sm 0.0552 0.1250 0.7518 1
Sm2 Sm 0.4448 0.2482 0.8750 1
Sm3 Sm 0.9448 0.8750 0.2482 1
Sm4 Sm 0.5552 0.7518 0.1250 1
Sm5 Sm 0.3172 0.9876 0.4435 1
Sm6 Sm 0.1828 0.5565 0.0124 1
Sm7 Sm 0.6828 0.0124 0.5565 1
Sm8 Sm 0.8172 0.4435 0.9876 1
Sm9 Sm 0.1179 0.7103 0.4911 1
Sm10 Sm 0.3821 0.5089 0.2897 1
Sm11 Sm 0.8821 0.2897 0.5089 1
Sm12 Sm 0.6179 0.4911 0.7103 1
Dy1 Dy 0.4524 0.7971 0.6857 1
Dy2 Dy 0.0476 0.3143 0.2029 1
Dy3 Dy 0.5476 0.2029 0.3143 1
Dy4 Dy 0.9524 0.6857 0.7971 1
```

***

# CrN2

A relaxed structure of CrN2 (GGA-PBE, the Alexandria database).

Raw total energy   -25.3 eV per formula unit
V   14.85 Å³ per atom
Density of states at the Fermi level   0.041 states/eV per atom
Symmetry   P1

Geometry as CIF:
```
data_CrN2
_symmetry_space_group_name_H-M 'P 1'
_symmetry_Int_Tables_number 1
_symmetry_space_group_name_Hall 'P 1'
_cell_length_a 2.9961
_cell_length_b 2.9955
_cell_length_c 4.9671
_cell_angle_alpha 91.36
_cell_angle_beta 90.64
_cell_angle_gamma 90.00
loop_
_atom_site_label
_atom_site_type_symbol
_atom_site_fract_x
_atom_site_fract_y
_atom_site_fract_z
_atom_site_occupancy
Cr1 Cr 0.6325 0.8671 0.6392 1
N1 N 0.1270 0.8600 0.4576 1
N2 N 0.6357 0.3756 0.8208 1
```

***

# Pr3NiI2

A relaxed structure of Pr3NiI2 (GGA-PBE, the Alexandria database).

Raw total energy   -27.8 eV per formula unit
V   32.49 Å³ per atom
Density of states at the Fermi level   0.402 states/eV per atom
Symmetry   C2/m

Geometry as CIF:
```
data_Pr3NiI2
_symmetry_space_group_name_H-M 'P 1'
_symmetry_Int_Tables_number 1
_symmetry_space_group_name_Hall 'P 1'
_cell_length_a 7.5598
_cell_length_b 8.2818
_cell_length_c 7.5564
_cell_angle_alpha 81.16
_cell_angle_beta 59.99
_cell_angle_gamma 72.11
loop_
_atom_site_label
_atom_site_type_symbol
_atom_site_fract_x
_atom_site_fract_y
_atom_site_fract_z
_atom_site_occupancy
Pr1 Pr 0.5573 0.1923 0.3763 1
Pr2 Pr 0.6881 0.8099 0.0000 1
Pr3 Pr 0.4427 0.8077 0.6237 1
Pr4 Pr 0.0663 0.8077 0.3763 1
Pr5 Pr 0.9337 0.1923 0.6237 1
Pr6 Pr 0.3119 0.1901 0.0000 1
Ni1 Ni 0.3326 0.0000 0.3349 1
Ni2 Ni 0.6674 0.0000 0.6651 1
I1 I 0.0000 0.0000 0.0000 1
I2 I 0.5000 0.5000 0.0000 1
I3 I 0.8439 0.5000 0.3122 1
I4 I 0.1561 0.5000 0.6878 1
```

***

# CoOs2Ru

A relaxed structure of CoOs2Ru (GGA-PBE, the Alexandria database).

Formation energy from the elements   0.179 eV per atom
Polymorph energy (0 for the lowest one)   14.5 kJ/mol of formula units
V   13.56 Å³ per atom
Density of states at the Fermi level   0.950 states/eV per atom
Symmetry   R-3m

Geometry as CIF:
```
data_CoOs2Ru
_symmetry_space_group_name_H-M 'P 1'
_symmetry_Int_Tables_number 1
_symmetry_space_group_name_Hall 'P 1'
_cell_length_a 8.7444
_cell_length_b 8.7444
_cell_length_c 8.7444
_cell_angle_alpha 17.75
_cell_angle_beta 17.75
_cell_angle_gamma 17.75
loop_
_atom_site_label
_atom_site_type_symbol
_atom_site_fract_x
_atom_site_fract_y
_atom_site_fract_z
_atom_site_occupancy
Co1 Co 0.7500 0.7500 0.7500 1
Os1 Os 0.0017 0.0017 0.0017 1
Os2 Os 0.4983 0.4983 0.4983 1
Ru1 Ru 0.2500 0.2500 0.2500 1
```

***

# ScMnRh2Pb

A relaxed structure of ScMnRh2Pb (GGA-PBE, the Alexandria database).

Formation energy from the elements   0.514 eV per atom
V   20.11 Å³ per atom
Density of states at the Fermi level   1.243 states/eV per atom
Symmetry   P4/mmm

Geometry as CIF:
```
data_ScMnRh2Pb
_symmetry_space_group_name_H-M 'P 1'
_symmetry_Int_Tables_number 1
_symmetry_space_group_name_Hall 'P 1'
_cell_length_a 4.5243
_cell_length_b 4.9126
_cell_length_c 4.5243
_cell_angle_alpha 90.00
_cell_angle_beta 90.00
_cell_angle_gamma 90.00
loop_
_atom_site_label
_atom_site_type_symbol
_atom_site_fract_x
_atom_site_fract_y
_atom_site_fract_z
_atom_site_occupancy
Pb1 Pb 0.0000 0.5000 0.0000 1
Sc1 Sc 0.5000 0.5000 0.5000 1
Mn1 Mn 0.0000 0.0000 0.0000 1
Rh1 Rh 0.0000 0.0000 0.5000 1
Rh2 Rh 0.5000 0.0000 0.0000 1
```

***

# Pm5Sm12Cd2

A relaxed structure of Pm5Sm12Cd2 (GGA-PBE, the Alexandria database).

Formation energy from the elements   0.037 eV per atom
V   32.87 Å³ per atom
Density of states at the Fermi level   1.419 states/eV per atom
Symmetry   C2/m

Geometry as CIF:
```
data_Pm5Sm12Cd2
_symmetry_space_group_name_H-M 'P 1'
_symmetry_Int_Tables_number 1
_symmetry_space_group_name_Hall 'P 1'
_cell_length_a 9.3184
_cell_length_b 9.1248
_cell_length_c 8.5550
_cell_angle_alpha 92.63
_cell_angle_beta 90.00
_cell_angle_gamma 120.70
loop_
_atom_site_label
_atom_site_type_symbol
_atom_site_fract_x
_atom_site_fract_y
_atom_site_fract_z
_atom_site_occupancy
Pm1 Pm 0.2329 0.4657 0.5741 1
Pm2 Pm 0.2997 0.5994 0.9791 1
Pm3 Pm 0.0000 0.0000 0.5000 1
Pm4 Pm 0.7003 0.4006 0.0209 1
Pm5 Pm 0.7671 0.5343 0.4259 1
Sm1 Sm 0.9230 0.8460 0.1189 1
Sm2 Sm 0.0392 0.7110 0.7636 1
Sm3 Sm 0.6718 0.7110 0.7636 1
Sm4 Sm 0.1797 0.7463 0.3235 1
Sm5 Sm 0.5666 0.7463 0.3235 1
Sm6 Sm 0.4440 0.8880 0.6705 1
Sm7 Sm 0.5560 0.1120 0.3295 1
Sm8 Sm 0.8203 0.2537 0.6765 1
Sm9 Sm 0.4334 0.2537 0.6765 1
Sm10 Sm 0.9608 0.2890 0.2364 1
Sm11 Sm 0.3282 0.2890 0.2364 1
Sm12 Sm 0.0770 0.1540 0.8811 1
Cd1 Cd 0.6694 0.0000 0.0000 1
Cd2 Cd 0.3306 0.0000 0.0000 1
```

***

# ZnCu3Ni2

A relaxed structure of ZnCu3Ni2 (GGA-PBE, the Alexandria database).

Formation energy from the elements   0.150 eV per atom
Polymorph energy (0 for the lowest one)   59.0 kJ/mol of formula units
V   12.37 Å³ per atom
Density of states at the Fermi level   0.468 states/eV per atom
Symmetry   P4_132

Geometry as CIF:
```
data_ZnCu3Ni2
_symmetry_space_group_name_H-M 'P 1'
_symmetry_Int_Tables_number 1
_symmetry_space_group_name_Hall 'P 1'
_cell_length_a 6.6708
_cell_length_b 6.6708
_cell_length_c 6.6708
_cell_angle_alpha 90.00
_cell_angle_beta 90.00
_cell_angle_gamma 90.00
loop_
_atom_site_label
_atom_site_type_symbol
_atom_site_fract_x
_atom_site_fract_y
_atom_site_fract_z
_atom_site_occupancy
Zn1 Zn 0.8750 0.1250 0.6250 1
Zn2 Zn 0.1250 0.6250 0.8750 1
Zn3 Zn 0.6250 0.8750 0.1250 1
Zn4 Zn 0.3750 0.3750 0.3750 1
Cu1 Cu 0.6250 0.3778 0.6278 1
Cu2 Cu 0.6222 0.1278 0.8750 1
Cu3 Cu 0.6278 0.6250 0.3778 1
Cu4 Cu 0.8722 0.3750 0.8778 1
Cu5 Cu 0.3778 0.6278 0.6250 1
Cu6 Cu 0.3722 0.1250 0.1222 1
Cu7 Cu 0.1278 0.8750 0.6222 1
Cu8 Cu 0.8778 0.8722 0.3750 1
Cu9 Cu 0.1222 0.3722 0.1250 1
Cu10 Cu 0.8750 0.6222 0.1278 1
Cu11 Cu 0.3750 0.8778 0.8722 1
Cu12 Cu 0.1250 0.1222 0.3722 1
Ni1 Ni 0.5022 0.4978 0.9978 1
Ni2 Ni 0.7478 0.7478 0.7478 1
Ni3 Ni 0.9978 0.5022 0.4978 1
Ni4 Ni 0.4978 0.9978 0.5022 1
Ni5 Ni 0.2478 0.7522 0.2522 1
Ni6 Ni 0.7522 0.2522 0.2478 1
Ni7 Ni 0.2522 0.2478 0.7522 1
Ni8 Ni 0.0022 0.0022 0.0022 1
```

***

# Ca2SbCSe

A relaxed structure of Ca2SbCSe (GGA-PBE, the Alexandria database).

Raw total energy   -19.9 eV per formula unit
V   29.05 Å³ per atom
Density of states at the Fermi level   0.179 states/eV per atom
Symmetry   P4/mmm

Geometry as CIF:
```
data_Ca2SbCSe
_symmetry_space_group_name_H-M 'P 1'
_symmetry_Int_Tables_number 1
_symmetry_space_group_name_Hall 'P 1'
_cell_length_a 5.8735
_cell_length_b 4.2097
_cell_length_c 5.8735
_cell_angle_alpha 90.00
_cell_angle_beta 90.00
_cell_angle_gamma 90.00
loop_
_atom_site_label
_atom_site_type_symbol
_atom_site_fract_x
_atom_site_fract_y
_atom_site_fract_z
_atom_site_occupancy
Sb1 Sb 0.0000 0.0000 0.0000 1
Ca1 Ca 0.0000 0.0000 0.5000 1
Ca2 Ca 0.5000 0.0000 0.0000 1
C1 C 0.0000 0.5000 0.0000 1
Se1 Se 0.5000 0.5000 0.5000 1
```

***

Question: Among the records above, which one has the lowest density of states at the Fermi level?
Answer: CrN2

***

Question: Among the records above, which one has the highest density of states at the Fermi level?
Answer: AcTbSm6Dy2

***

Question: Which value of density of states at the Fermi level does entry 5 give?
Answer: 1.243 states/eV per atom